# TaRe2Se GGA-PBE optimized geometry
data_TaRe2Se
_symmetry_space_group_name_H-M 'C 1 2/m 1'
_symmetry_Int_Tables_number 12
_symmetry_space_group_name_Hall '-C 2y'
_cell_length_a 5.322
_cell_length_b 9.212
_cell_length_c 2.948
_cell_angle_alpha 90.00
_cell_angle_beta 115.96
_cell_angle_gamma 90.00
loop_
_atom_site_label
_atom_site_fract_x
_atom_site_fract_y
_atom_site_fract_z
_atom_site_occupancy
Ta1 0.000 0.000 0.000 1
Re1 0.250 0.250 0.500 1
Se1 0.000 0.500 0.000 1
# Crystal system: monoclinic
# Total energy, eV/atom: -9.615

---

# Zn2ClO GGA-PBE optimized geometry
data_Zn2ClO
_symmetry_space_group_name_H-M 'I -4 2 d'
_symmetry_Int_Tables_number 122
_symmetry_space_group_name_Hall 'I -4 2bw'
_cell_length_a 5.350
_cell_length_b 5.350
_cell_length_c 10.367
_cell_angle_alpha 90.00
_cell_angle_beta 90.00
_cell_angle_gamma 90.00
loop_
_atom_site_label
_atom_site_fract_x
_atom_site_fract_y
_atom_site_fract_z
_atom_site_occupancy
Zn1 0.149 0.250 0.125 1
Cl1 0.000 0.000 0.500 1
O1 0.000 0.000 0.000 1
# Crystal system: tetragonal
# Energy above the lowest structure with this stoichiometry, meV per atom: 211